Record 1
Density functional theory data (PBE-GGA) for a relaxed TlIn2AgCl8 crystal.

Computed properties:
As for the magnetization: 0.00 μB per cell. The value obtained for the formation energy (no corrections) is -0.952 eV per atom. For the density of states at the Fermi level, the calculation gives 0.000 states/eV/cell.

Unit cell a=6.6838 b=6.6838 c=28.3290 alpha=90.00 beta=90.00 gamma=120.00
Last column: nearest neighbours and their distance in Å.
Space group R-3 (No. 148, hexagonal axes)
Inequivalent atoms, fractional coordinates:
Tl  0.0000  0.0000  0.0000 (multiplicity 3)  12 Cl 3.74-3.86
In  0.0000  0.0000  0.2480 (multiplicity 6)  4 Cl 2.39-2.40
Ag  0.0000  0.0000  0.5000 (multiplicity 3)  6 Cl 2.80
Cl  0.0000  0.0000  0.3326 (multiplicity 6)  1 In 2.39
Cl  0.0030  0.3173  0.1090 (multiplicity 18)  1 In 2.40



Record 2
Density functional theory data (PBE-GGA) for a relaxed Tl2InAgCl6 crystal.

Computed properties:
As for the magnetization: 0.00 μB per cell. The value obtained for the formation energy (no corrections) is -0.954 eV per atom. For the density of states at the Fermi level, the calculation gives 0.000 states/eV/cell.

Unit cell a=7.2767 b=7.4882 c=12.6250 alpha=90.00 beta=124.91 gamma=90.00
Last column: nearest neighbours and their distance in Å.
Space group P2_1/c (No. 14)
Inequivalent atoms, fractional coordinates:
Tl  0.2337  0.0615  0.2494 (multiplicity 4)  8 Cl 3.26-3.55
In  0.5000  0.0000  0.0000 (multiplicity 2)  6 Cl 2.56-2.57
Ag  0.0000  0.0000  0.5000 (multiplicity 2)  6 Cl 2.72-2.79
Cl  0.1791  0.1957  0.9631 (multiplicity 4)  1 In 2.56, 1 Ag 2.79
Cl  0.2706  0.7180  0.9644 (multiplicity 4)  1 In 2.57, 1 Ag 2.78
Cl  0.3316  0.0110  0.7572 (multiplicity 4)  1 In 2.57, 1 Ag 2.72



Record 3
Density functional theory data (PBE-GGA) for a relaxed TlInAg2Cl6 crystal.

Computed properties:
As for the magnetization: 0.00 μB per cell. The value obtained for the formation energy (no corrections) is -0.812 eV per atom. For the density of states at the Fermi level, the calculation gives 0.000 states/eV/cell.

Unit cell a=7.0213 b=7.0295 c=7.6164 alpha=90.04 beta=117.40 gamma=119.93
Last column: nearest neighbours and their distance in Å.
Space group P1 (No. 1)
Inequivalent atoms, fractional coordinates:
Tl  0.0000  0.0000  0.0000 (multiplicity 1)  6 Cl 3.09-3.34
In  0.9611  0.4807  0.4408 (multiplicity 1)  6 Cl 2.57
Ag  0.5721  0.2859  0.8579 (multiplicity 1)  6 Cl 2.74-2.95
Ag  0.6195  0.8106  0.4289 (multiplicity 1)  6 Cl 2.74-2.87
Cl  0.1045  0.4548  0.1913 (multiplicity 1)  1 In 2.57, 1 Ag 2.75
Cl  0.1096  0.2459  0.6526 (multiplicity 1)  1 In 2.57, 2 Ag 2.74-2.86
Cl  0.4078  0.8637  0.6526 (multiplicity 1)  1 In 2.57, 2 Ag 2.74-2.85
Cl  0.5425  0.0888  0.1911 (multiplicity 1)  1 In 2.57, 1 Ag 2.75
Cl  0.7381  0.6508  0.1922 (multiplicity 1)  1 In 2.57, 1 Ag 2.74
Cl  0.7899  0.5438  0.6534 (multiplicity 1)  1 In 2.57, 2 Ag 2.74-2.87



Record 4
Density functional theory data (PBE-GGA) for a relaxed TmIn2AgCl6 crystal.

Computed properties:
As for the magnetization: 0.00 μB per cell. The value obtained for the formation energy (no corrections) is -1.335 eV per atom. For the density of states at the Fermi level, the calculation gives 0.000 states/eV/cell.

Unit cell a=7.2550 b=7.6279 c=12.5895 alpha=90.00 beta=124.30 gamma=90.00
Last column: nearest neighbours and their distance in Å.
Space group P2_1/c (No. 14)
Inequivalent atoms, fractional coordinates:
Tm  0.0000  0.0000  0.0000 (multiplicity 2)  6 Cl 2.61-2.62
In  0.2741  0.0724  0.7549 (multiplicity 4)  7 Cl 3.19-3.48
Ag  0.5000  0.0000  0.5000 (multiplicity 2)  6 Cl 2.75-2.83
Cl  0.1537  0.0202  0.2441 (multiplicity 4)  1 Tm 2.62, 1 Ag 2.75
Cl  0.2311  0.7139  0.0439 (multiplicity 4)  1 Tm 2.61, 1 Ag 2.83
Cl  0.3355  0.1882  0.0408 (multiplicity 4)  1 Tm 2.62, 1 Ag 2.83



Record 5
Density functional theory data (PBE-GGA) for a relaxed UInAgCl6 crystal.

Computed properties:
As for the magnetization: 4.00 μB per cell. The value obtained for the formation energy (no corrections) is -1.256 eV per atom. For the density of states at the Fermi level, the calculation gives 9.086 states/eV/cell.

Unit cell a=6.9624 b=6.9624 c=14.1484 alpha=90.00 beta=90.00 gamma=120.00
Last column: nearest neighbours and their distance in Å.
Space group P-31c (No. 163)
Inequivalent atoms, fractional coordinates:
U  0.3333  0.6667  0.2500 (multiplicity 2)  6 Cl 2.64
In  0.0000  0.0000  0.0000 (multiplicity 2)  6 Cl 3.20
Ag  0.3333  0.6667  0.7500 (multiplicity 2)  6 Cl 2.80
Cl  0.0174  0.3692  0.1403 (multiplicity 12)  1 U 2.64, 1 Ag 2.80



Record 6
Density functional theory data (PBE-GGA) for a relaxed VInAgCl6 crystal.

Computed properties:
As for the magnetization: 0.99 μB per cell. The value obtained for the formation energy (no corrections) is -0.896 eV per atom. For the density of states at the Fermi level, the calculation gives 6.602 states/eV/cell.

Unit cell a=6.7552 b=6.7552 c=6.1999 alpha=90.00 beta=90.00 gamma=120.00
Last column: nearest neighbours and their distance in Å.
Space group P312 (No. 149)
Inequivalent atoms, fractional coordinates:
V  0.0000  0.0000  0.0000 (multiplicity 1)  6 Cl 2.35
In  0.3333  0.6667  0.5000 (multiplicity 1)  6 Cl 3.06
Ag  0.6667  0.3333  0.0000 (multiplicity 1)  6 Cl 2.73
Cl  0.2912  0.0162  0.2198 (multiplicity 6)  1 V 2.35



Record 7
Density functional theory data (PBE-GGA) for a relaxed ZnInAgCl4 crystal.

Computed properties:
As for the magnetization: 0.00 μB per cell. The value obtained for the formation energy (no corrections) is -0.837 eV per atom. For the density of states at the Fermi level, the calculation gives 0.000 states/eV/cell.

Unit cell a=6.5535 b=7.3083 c=8.4566 alpha=90.00 beta=104.07 gamma=90.00
Last column: nearest neighbours and their distance in Å.
Space group P2_1/m (No. 11)
Inequivalent atoms, fractional coordinates:
Zn  0.2394  0.2500  0.3137 (multiplicity 2)  4 Cl 2.25-2.34
In  0.2407  0.7500  0.0396 (multiplicity 2)  3 Cl 3.02-3.27
Ag  0.1666  0.7500  0.5212 (multiplicity 2)  5 Cl 2.58-2.82
Cl  0.0083  0.5132  0.7179 (multiplicity 4)  1 Zn 2.34
Cl  0.3659  0.2500  0.0868 (multiplicity 2)  1 Zn 2.27
Cl  0.4760  0.2500  0.5561 (multiplicity 2)  1 Zn 2.25



Record 8
Density functional theory data (PBE-GGA) for a relaxed ZrInAgCl6 crystal.

Computed properties:
As for the magnetization: 0.00 μB per cell. The value obtained for the formation energy (no corrections) is -1.289 eV per atom. For the density of states at the Fermi level, the calculation gives 0.000 states/eV/cell.

Unit cell a=6.9879 b=6.9879 c=13.3279 alpha=90.00 beta=90.00 gamma=120.00
Last column: nearest neighbours and their distance in Å.
Space group P-31c (No. 163)
Inequivalent atoms, fractional coordinates:
Zr  0.3333  0.6667  0.2500 (multiplicity 2)  6 Cl 2.50
In  0.0000  0.0000  0.0000 (multiplicity 2)  6 Cl 3.21
Ag  0.3333  0.6667  0.7500 (multiplicity 2)  6 Cl 2.79
Cl  0.0316  0.3871  0.1409 (multiplicity 12)  1 Zr 2.50, 1 Ag 2.79



Copy entry 2 word for word.
Density functional theory data (PBE-GGA) for a relaxed Tl2InAgCl6 crystal.

Computed properties:
As for the magnetization: 0.00 μB per cell. The value obtained for the formation energy (no corrections) is -0.954 eV per atom. For the density of states at the Fermi level, the calculation gives 0.000 states/eV/cell.

Unit cell a=7.2767 b=7.4882 c=12.6250 alpha=90.00 beta=124.91 gamma=90.00
Last column: nearest neighbours and their distance in Å.
Space group P2_1/c (No. 14)
Inequivalent atoms, fractional coordinates:
Tl  0.2337  0.0615  0.2494 (multiplicity 4)  8 Cl 3.26-3.55
In  0.5000  0.0000  0.0000 (multiplicity 2)  6 Cl 2.56-2.57
Ag  0.0000  0.0000  0.5000 (multiplicity 2)  6 Cl 2.72-2.79
Cl  0.1791  0.1957  0.9631 (multiplicity 4)  1 In 2.56, 1 Ag 2.79
Cl  0.2706  0.7180  0.9644 (multiplicity 4)  1 In 2.57, 1 Ag 2.78
Cl  0.3316  0.0110  0.7572 (multiplicity 4)  1 In 2.57, 1 Ag 2.72